Computed, not measured: a crystal of Ni3AgN relaxed with PBEsol at the SCAN level of DFT.

Values from the calculation:
DOS(E_F) in states/eV/cell: 3.35
ΔE_f (raw) in meV/atom: 12

```
data_Ni3AgN
_symmetry_space_group_name_H-M 'P m -3 m'
_symmetry_Int_Tables_number 221
_symmetry_space_group_name_Hall '-P 4 2 3'
_cell_length_a 3.762
_cell_length_b 3.762
_cell_length_c 3.762
_cell_angle_alpha 90.00
_cell_angle_beta 90.00
_cell_angle_gamma 90.00
loop_
_atom_site_label
_atom_site_fract_x
_atom_site_fract_y
_atom_site_fract_z
_atom_site_occupancy
Ni1 0.000 0.000 0.500 1
Ag1 0.500 0.500 0.500 1
N1 0.000 0.000 0.000 1
```